[1]
The following is a DFT calculation (PBE) of an optimized crystal structure of NaInIrC2.

```
NaInIrC2
1.0
-3.612 -2.200 1.102
1.708 -0.371 4.857
-1.991 3.763 0.988
Na C Ir In
1 2 1 1
direct
0.500 0.500 0.500
0.000 0.000 0.500
0.500 0.000 0.000
0.000 0.500 0.000
0.000 0.000 0.000
```

VASP energy, eV per atom: -3.7515

=====

[2]
The following is a DFT calculation (PBE) of an optimized crystal structure of KMgTa2Pd.

```
KMgTa2Pd
1.0
4.700 0.000 0.000
0.000 4.941 0.000
0.000 0.000 4.700
K Mg Pd Ta
1 1 1 2
direct
0.000 0.000 0.000
0.500 0.500 0.500
0.000 0.500 0.000
0.000 0.000 0.500
0.500 0.000 0.000
```

VASP energy, eV per atom: -3.8698

=====

[3]
The following is a DFT calculation (PBE) of an optimized crystal structure of PmSmAg2Se4.

```
PmSmAg2Se4
1.0
-3.725 -2.106 -0.140
2.551 -4.787 4.161
-1.250 1.742 7.087
Pm Sm Ag Se
1 1 2 4
direct
0.000 0.500 0.500
0.500 0.500 0.000
0.000 0.000 0.000
0.500 0.000 0.500
0.000 0.752 0.752
0.000 0.248 0.248
0.500 0.753 0.250
0.500 0.247 0.750
```

VASP energy, eV per atom: -4.8001

=====

[4]
The following is a DFT calculation (PBE) of an optimized crystal structure of Rb2AcI6.

```
Rb2AcI6
1.0
5.115 0.000 0.000
0.000 9.520 0.000
0.000 -4.760 8.370
Rb Ac I
2 1 6
direct
0.000 0.329 0.662
0.000 0.666 0.338
0.500 0.004 0.000
0.500 0.640 0.000
0.500 0.361 0.365
0.500 0.997 0.635
0.000 0.246 0.000
0.000 0.760 0.762
0.000 0.998 0.238
```

VASP energy, eV per atom: -2.9999

=====

[5]
The following is a DFT calculation (PBE) of an optimized crystal structure of AsIrBr2.

```
AsIrBr2
1.0
4.554 0.000 0.000
0.000 4.554 0.000
2.277 2.277 8.576
As Ir Br
2 2 4
direct
0.500 0.500 0.000
0.250 0.750 0.500
0.000 0.000 0.000
0.750 0.250 0.500
0.646 0.125 0.250
0.104 0.625 0.250
0.375 0.354 0.750
0.875 0.896 0.750
```

VASP energy, eV per atom: -3.3695

=====

[6]
The following is a DFT calculation (PBE) of an optimized crystal structure of RbPSeBr2.

```
RbPSeBr2
1.0
5.555 0.000 0.000
0.000 5.555 0.000
0.000 0.000 4.766
P Se Br Rb
1 1 2 1
direct
0.000 0.000 0.000
0.000 0.000 0.500
0.000 0.500 0.000
0.500 0.000 0.000
0.500 0.500 0.500
```

VASP energy, eV per atom: -3.1844

=====

[7]
The following is a DFT calculation (PBE) of an optimized crystal structure of BeInAg2.

```
BeInAg2
1.0
4.034 0.000 0.000
0.000 4.034 0.000
2.017 2.017 9.365
Be Ag In
2 4 2
direct
0.500 0.500 0.000
0.250 0.750 0.500
0.605 0.125 0.250
0.145 0.625 0.250
0.375 0.395 0.750
0.875 0.855 0.750
0.000 0.000 0.000
0.750 0.250 0.500
```

VASP energy, eV per atom: -2.6388

=====

[8]
The following is a DFT calculation (PBE) of an optimized crystal structure of CaSm2Bi2.

```
CaSm2Bi2
1.0
4.341 0.000 0.000
0.000 8.593 0.000
0.000 0.000 8.593
Ca Sm Bi
2 4 4
direct
0.000 0.000 0.000
0.000 0.500 0.500
0.500 0.154 0.654
0.500 0.654 0.846
0.500 0.846 0.346
0.500 0.346 0.154
0.000 0.351 0.851
0.000 0.851 0.649
0.000 0.649 0.149
0.000 0.149 0.351
```

VASP energy, eV per atom: -4.6218

=====

The highest VASP energy belongs to which entry?
BeInAg2

=====

The highest VASP energy belongs to which entry?
BeInAg2

=====

Which of these has the lowest VASP energy?
PmSmAg2Se4

=====

What is the formula in the fourth record?
Rb2AcI6